First-principles (GGA-PBE) data for La3YIn after structural relaxation, as listed in Alexandria.

Cell: 6.0294 6.0294 6.0294 Å, 90.00 90.00 90.00°
With the nearest neighbours (Å) after each atom.
Positions (direct):
La 0.0000 0.0000 0.5000  2 In 3.01
La 0.0000 0.5000 0.0000  2 In 3.01
La 0.5000 0.0000 0.0000  2 In 3.01
Y 0.5000 0.5000 0.5000  12 La 4.26
In 0.0000 0.0000 0.0000  6 La 3.01

## Properties
formation energy = 0.380 eV per atom
Fermi-level density of states = 11.1 states/eV/cell
raw total energy = -4.42 eV per atom